a.
! TbSm6S8 PBE-GGA relaxed; values from VASP
! density = 4407 kg/m³
! total magnetic moment = 0.00 μB/f.u.
&SYSTEM
  ibrav = 0, nat = 15, ntyp = 3
/
ATOMIC_SPECIES
Tb 158.93 Tb.upf
Sm 150.36 Sm.upf
S 32.06 S.upf
ATOMIC_POSITIONS crystal
Tb 0.0000 0.0000 0.0000
Sm 0.1825 0.5559 0.3571
Sm 0.3571 0.1825 0.5559
Sm 0.4441 0.6429 0.8175
Sm 0.5559 0.3571 0.1825
Sm 0.6429 0.8175 0.4441
Sm 0.8175 0.4441 0.6429
S 0.1550 0.4180 0.6586
S 0.2225 0.2225 0.2225
S 0.3414 0.8450 0.5820
S 0.4180 0.6586 0.1550
S 0.5820 0.3414 0.8450
S 0.6586 0.1550 0.4180
S 0.7775 0.7775 0.7775
S 0.8450 0.5820 0.3414
CELL_PARAMETERS angstrom
6.0341 3.4838 3.9361
-6.0341 3.4838 3.9361
0.0000 -6.9676 3.9361

=====

b.
! TbSm6S8 PBE-GGA relaxed; values from VASP
! density = 6057 kg/m³
! total magnetic moment = 0.00 μB/f.u.
&SYSTEM
  ibrav = 0, nat = 15, ntyp = 3
/
ATOMIC_SPECIES
Tb 158.93 Tb.upf
Sm 150.36 Sm.upf
S 32.06 S.upf
ATOMIC_POSITIONS crystal
Tb 0.0000 0.0000 0.0000
Sm 0.0000 0.0000 0.5000
Sm 0.0000 0.5000 0.0000
Sm 0.0000 0.5000 0.5000
Sm 0.5000 0.0000 0.0000
Sm 0.5000 0.0000 0.5000
Sm 0.5000 0.5000 0.0000
S 0.2467 0.2467 0.7533
S 0.2467 0.7533 0.2467
S 0.2467 0.7533 0.7533
S 0.2500 0.2500 0.2500
S 0.7500 0.7500 0.7500
S 0.7533 0.2467 0.2467
S 0.7533 0.2467 0.7533
S 0.7533 0.7533 0.2467
CELL_PARAMETERS angstrom
0.0000 5.6527 5.6527
5.6527 0.0000 5.6527
5.6527 5.6527 0.0000

=====

Stability check: which of them is most stable? b.

=====

a.
! TbSmS3 PBE-GGA relaxed; values from VASP
! density = 5565 kg/m³
! total magnetic moment = 0.00 μB/f.u.
&SYSTEM
  ibrav = 0, nat = 10, ntyp = 3
/
ATOMIC_SPECIES
Tb 158.93 Tb.upf
Sm 150.36 Sm.upf
S 32.06 S.upf
ATOMIC_POSITIONS crystal
Tb 0.1810 0.2500 0.1458
Tb 0.8190 0.7500 0.8542
Sm 0.2687 0.2500 0.6198
Sm 0.7313 0.7500 0.3802
S 0.1141 0.7500 0.3762
S 0.1796 0.7500 0.8976
S 0.4806 0.2500 0.3220
S 0.5194 0.7500 0.6780
S 0.8204 0.2500 0.1024
S 0.8859 0.2500 0.6238
CELL_PARAMETERS angstrom
7.8236 0.0000 0.0000
0.0000 3.9463 0.0000
-0.5790 0.0000 7.8380

=====

b.
! TbSmS3 PBE-GGA relaxed; values from VASP
! density = 5989 kg/m³
! total magnetic moment = 0.00 μB/f.u.
&SYSTEM
  ibrav = 0, nat = 20, ntyp = 3
/
ATOMIC_SPECIES
Tb 158.93 Tb.upf
Sm 150.36 Sm.upf
S 32.06 S.upf
ATOMIC_POSITIONS crystal
Tb 0.2329 0.2500 0.0432
Tb 0.2671 0.7500 0.5432
Tb 0.7329 0.2500 0.4568
Tb 0.7671 0.7500 0.9568
Sm 0.1429 0.7500 0.2970
Sm 0.3571 0.2500 0.7970
Sm 0.6429 0.7500 0.2030
Sm 0.8571 0.2500 0.7030
S 0.0107 0.7500 0.1067
S 0.1244 0.2500 0.4348
S 0.1486 0.7500 0.7171
S 0.3514 0.2500 0.2171
S 0.3756 0.7500 0.9348
S 0.4893 0.2500 0.6067
S 0.5107 0.7500 0.3933
S 0.6244 0.2500 0.0652
S 0.6486 0.7500 0.7829
S 0.8514 0.2500 0.2829
S 0.8756 0.7500 0.5652
S 0.9893 0.2500 0.8933
CELL_PARAMETERS angstrom
7.3823 0.0000 0.0000
0.0000 3.9648 0.0000
0.0000 0.0000 15.3640

=====

Stability check: which of them is most stable? b.

=====

a.
! Sm2TeS PBE-GGA relaxed; values from VASP
! density = 7159 kg/m³
! total magnetic moment = 0.00 μB/f.u.
&SYSTEM
  ibrav = 0, nat = 4, ntyp = 3
/
ATOMIC_SPECIES
Sm 150.36 Sm.upf
Te 127.60 Te.upf
S 32.06 S.upf
ATOMIC_POSITIONS crystal
Sm 0.0000 0.0000 0.0000
Sm 0.1943 0.1943 0.1943
Te 0.7642 0.7642 0.7642
S 0.5952 0.5952 0.5952
CELL_PARAMETERS angstrom
2.0570 1.1876 7.2857
-2.0570 1.1876 7.2857
0.0000 -2.3752 7.2857

=====

b.
! Sm2TeS PBE-GGA relaxed; values from VASP
! density = 7135 kg/m³
! total magnetic moment = 0.00 μB/f.u.
&SYSTEM
  ibrav = 0, nat = 4, ntyp = 3
/
ATOMIC_SPECIES
Sm 150.36 Sm.upf
Te 127.60 Te.upf
S 32.06 S.upf
ATOMIC_POSITIONS crystal
Sm 0.2347 0.2347 0.2347
Sm 0.7653 0.7653 0.7653
Te 0.0000 0.0000 0.0000
S 0.5000 0.5000 0.5000
CELL_PARAMETERS angstrom
2.0911 1.2073 7.0732
-2.0911 1.2073 7.0732
0.0000 -2.4146 7.0732

=====

c.
! Sm2TeS PBE-GGA relaxed; values from VASP
! density = 7035 kg/m³
! total magnetic moment = 0.00 μB/f.u.
&SYSTEM
  ibrav = 0, nat = 16, ntyp = 3
/
ATOMIC_SPECIES
Sm 150.36 Sm.upf
Te 127.60 Te.upf
S 32.06 S.upf
ATOMIC_POSITIONS crystal
Sm 0.0000 0.2492 0.1434
Sm 0.0000 0.2498 0.6067
Sm 0.0000 0.7502 0.3933
Sm 0.0000 0.7508 0.8566
Sm 0.5000 0.2492 0.3566
Sm 0.5000 0.2498 0.8933
Sm 0.5000 0.7502 0.1067
Sm 0.5000 0.7508 0.6434
Te 0.0000 0.2508 0.8751
Te 0.0000 0.7492 0.1249
Te 0.5000 0.2508 0.6249
Te 0.5000 0.7492 0.3751
S 0.0000 0.2497 0.3750
S 0.0000 0.7503 0.6250
S 0.5000 0.2497 0.1250
S 0.5000 0.7503 0.8750
CELL_PARAMETERS angstrom
6.0255 0.0000 0.0000
0.0000 6.0250 0.0000
0.0000 0.0000 11.9737

=====

Stability check: which of them is most stable? a.

=====

a.
! Sm2Te2S PBE-GGA relaxed; values from VASP
! density = 6239 kg/m³
! total magnetic moment = 0.00 μB/f.u.
&SYSTEM
  ibrav = 0, nat = 10, ntyp = 3
/
ATOMIC_SPECIES
Sm 150.36 Sm.upf
Te 127.60 Te.upf
S 32.06 S.upf
ATOMIC_POSITIONS crystal
Sm 0.1029 0.2323 0.3352
Sm 0.3971 0.7323 0.1294
Sm 0.6029 0.2677 0.8706
Sm 0.8971 0.7677 0.6648
Te 0.1448 0.6288 0.7736
Te 0.3552 0.1288 0.4841
Te 0.6448 0.8712 0.5159
Te 0.8552 0.3712 0.2264
S 0.2500 0.2500 0.0000
S 0.7500 0.7500 0.0000
CELL_PARAMETERS angstrom
-4.0495 5.9648 3.2393
4.0495 -5.9648 3.2393
4.0495 5.9648 -3.2393

=====

b.
! Sm2Te2S PBE-GGA relaxed; values from VASP
! density = 6276 kg/m³
! total magnetic moment = 0.00 μB/f.u.
&SYSTEM
  ibrav = 0, nat = 10, ntyp = 3
/
ATOMIC_SPECIES
Sm 150.36 Sm.upf
Te 127.60 Te.upf
S 32.06 S.upf
ATOMIC_POSITIONS crystal
Sm 0.0499 0.9501 0.5000
Sm 0.3215 0.6785 0.4179
Sm 0.6785 0.3215 0.9179
Sm 0.9501 0.0499 0.0000
Te 0.3025 0.6975 0.0320
Te 0.4452 0.5548 0.6941
Te 0.5548 0.4452 0.1941
Te 0.6975 0.3025 0.5320
S 0.0940 0.9060 0.8356
S 0.9060 0.0940 0.3356
CELL_PARAMETERS angstrom
2.1794 -8.7379 0.0000
2.1794 8.7379 0.0000
0.0000 0.0000 8.1696

=====

Stability check: which of them is most stable? b.